! PmNd2SmEr (PBE, relaxed); values from VASP
&SYSTEM
  ibrav = 0, nat = 10, ntyp = 4
/
ATOMIC_SPECIES
Pm 145.00 Pm.upf
Nd 144.24 Nd.upf
Sm 150.36 Sm.upf
Er 167.26 Er.upf
ATOMIC_POSITIONS crystal
Pm 0.576 0.000 0.250
Pm 0.424 0.000 0.750
Nd 0.696 0.694 0.753
Nd 0.696 0.306 0.747
Nd 0.304 0.694 0.253
Nd 0.304 0.306 0.247
Sm 0.000 0.000 0.000
Sm 0.000 0.000 0.500
Er 0.162 0.500 0.750
Er 0.838 0.500 0.250
CELL_PARAMETERS angstrom
6.711 0.000 0.000
0.000 8.124 1.412
0.000 -1.130 6.173
! V: 173.6 Å³/f.u.
! calculated formation energy: 0.26 eV/atom
! E: -0.327 Ry per atom



! Pm4Nd2SmEr (PBE, relaxed); values from VASP
&SYSTEM
  ibrav = 0, nat = 16, ntyp = 4
/
ATOMIC_SPECIES
Pm 145.00 Pm.upf
Nd 144.24 Nd.upf
Sm 150.36 Sm.upf
Er 167.26 Er.upf
ATOMIC_POSITIONS crystal
Pm 0.244 0.755 0.000
Pm 0.745 0.256 0.500
Pm 0.255 0.744 0.500
Pm 0.756 0.245 0.000
Pm 0.718 0.717 0.964
Pm 0.783 0.782 0.536
Pm 0.217 0.218 0.464
Pm 0.282 0.283 0.036
Nd 0.500 0.000 0.000
Nd 0.500 0.000 0.500
Nd 0.000 0.000 0.500
Nd 0.500 0.500 0.000
Sm 0.000 0.500 0.000
Sm 0.000 0.500 0.500
Er 0.500 0.500 0.500
Er 0.000 0.000 0.000
CELL_PARAMETERS angstrom
9.453 -0.016 -1.747
-0.023 9.453 -1.747
-6.001 -6.006 8.430
! V: 277.3 Å³/f.u.
! calculated formation energy: 0.38 eV/atom
! E: -0.319 Ry per atom



! Pm2Nd4SmEr2 (PBE, relaxed); values from VASP
&SYSTEM
  ibrav = 0, nat = 9, ntyp = 4
/
ATOMIC_SPECIES
Pm 145.00 Pm.upf
Nd 144.24 Nd.upf
Sm 150.36 Sm.upf
Er 167.26 Er.upf
ATOMIC_POSITIONS crystal
Pm 0.888 0.777 0.331
Pm 0.112 0.223 0.669
Nd 0.778 0.556 0.670
Nd 0.222 0.444 0.330
Nd 0.555 0.110 0.331
Nd 0.445 0.890 0.669
Sm 0.000 0.000 0.000
Er 0.332 0.665 0.000
Er 0.668 0.335 0.000
CELL_PARAMETERS angstrom
5.140 0.000 0.000
-2.570 7.711 0.011
0.000 -2.587 7.672
! V: 304.2 Å³/f.u.
! calculated formation energy: 0.02 eV/atom
! E: -0.345 Ry per atom



! PmNd2Sm5Er (PBE, relaxed); values from VASP
&SYSTEM
  ibrav = 0, nat = 18, ntyp = 4
/
ATOMIC_SPECIES
Pm 145.00 Pm.upf
Nd 144.24 Nd.upf
Sm 150.36 Sm.upf
Er 167.26 Er.upf
ATOMIC_POSITIONS crystal
Pm 0.250 0.250 0.500
Pm 0.750 0.750 0.500
Nd 0.118 0.382 0.000
Nd 0.618 0.118 0.000
Nd 0.382 0.882 0.000
Nd 0.882 0.618 0.000
Sm 0.928 0.428 0.280
Sm 0.649 0.149 0.720
Sm 0.072 0.572 0.720
Sm 0.149 0.072 0.720
Sm 0.572 0.649 0.720
Sm 0.851 0.928 0.280
Sm 0.428 0.351 0.280
Sm 0.351 0.851 0.280
Sm 0.500 0.500 0.000
Sm 0.000 0.000 0.000
Er 0.250 0.750 0.500
Er 0.750 0.250 0.500
CELL_PARAMETERS angstrom
8.774 0.000 0.000
0.000 8.774 0.000
-4.387 -4.387 7.996
! V: 307.8 Å³/f.u.
! calculated formation energy: 0.27 eV/atom
! E: -0.327 Ry per atom



! PmNdSm6Er2 (PBE, relaxed); values from VASP
&SYSTEM
  ibrav = 0, nat = 20, ntyp = 4
/
ATOMIC_SPECIES
Pm 145.00 Pm.upf
Nd 144.24 Nd.upf
Sm 150.36 Sm.upf
Er 167.26 Er.upf
ATOMIC_POSITIONS crystal
Pm 0.250 0.968 0.031
Pm 0.750 0.032 0.969
Nd 0.250 0.407 0.593
Nd 0.750 0.593 0.407
Sm 0.056 0.111 0.758
Sm 0.444 0.242 0.889
Sm 0.944 0.889 0.242
Sm 0.556 0.758 0.111
Sm 0.318 0.985 0.438
Sm 0.181 0.562 0.015
Sm 0.682 0.015 0.562
Sm 0.819 0.438 0.985
Sm 0.118 0.705 0.485
Sm 0.382 0.515 0.295
Sm 0.882 0.295 0.515
Sm 0.618 0.485 0.705
Er 0.452 0.801 0.703
Er 0.049 0.296 0.199
Er 0.548 0.199 0.297
Er 0.951 0.704 0.801
CELL_PARAMETERS angstrom
9.227 -1.945 -2.020
0.795 8.638 -1.962
0.793 -2.281 8.558
! V: 337.3 Å³/f.u.
! calculated formation energy: 0.12 eV/atom
! E: -0.336 Ry per atom



! Pm2Nd4Sm2Er (PBE, relaxed); values from VASP
&SYSTEM
  ibrav = 0, nat = 9, ntyp = 4
/
ATOMIC_SPECIES
Pm 145.00 Pm.upf
Nd 144.24 Nd.upf
Sm 150.36 Sm.upf
Er 167.26 Er.upf
ATOMIC_POSITIONS crystal
Pm 0.889 0.778 0.331
Pm 0.111 0.222 0.669
Nd 0.778 0.556 0.668
Nd 0.222 0.444 0.332
Nd 0.555 0.110 0.332
Nd 0.445 0.890 0.668
Sm 0.334 0.668 0.000
Sm 0.666 0.332 0.000
Er 0.000 0.000 0.000
CELL_PARAMETERS angstrom
5.157 0.000 0.000
-2.578 7.734 0.006
0.000 -2.597 7.707
! V: 307.4 Å³/f.u.
! calculated formation energy: 0.02 eV/atom
! E: -0.347 Ry per atom



! Pm2NdSmEr5 (PBE, relaxed); values from VASP
&SYSTEM
  ibrav = 0, nat = 18, ntyp = 4
/
ATOMIC_SPECIES
Pm 145.00 Pm.upf
Nd 144.24 Nd.upf
Sm 150.36 Sm.upf
Er 167.26 Er.upf
ATOMIC_POSITIONS crystal
Pm 0.117 0.383 0.000
Pm 0.617 0.117 0.000
Pm 0.383 0.883 0.000
Pm 0.883 0.617 0.000
Nd 0.250 0.250 0.500
Nd 0.750 0.750 0.500
Sm 0.250 0.750 0.500
Sm 0.750 0.250 0.500
Er 0.928 0.428 0.273
Er 0.654 0.154 0.727
Er 0.072 0.572 0.727
Er 0.154 0.072 0.727
Er 0.572 0.654 0.727
Er 0.846 0.928 0.273
Er 0.428 0.346 0.273
Er 0.346 0.846 0.273
Er 0.500 0.500 0.000
Er 0.000 0.000 0.000
CELL_PARAMETERS angstrom
8.701 0.000 0.000
0.000 8.701 0.000
-4.350 -4.350 7.714
! V: 292.0 Å³/f.u.
! calculated formation energy: 0.26 eV/atom
! E: -0.323 Ry per atom



! Pm2Nd4SmEr (PBE, relaxed); values from VASP
&SYSTEM
  ibrav = 0, nat = 8, ntyp = 4
/
ATOMIC_SPECIES
Pm 145.00 Pm.upf
Nd 144.24 Nd.upf
Sm 150.36 Sm.upf
Er 167.26 Er.upf
ATOMIC_POSITIONS crystal
Pm 0.000 0.000 0.000
Pm 0.500 0.000 0.500
Nd 0.000 0.753 0.748
Nd 0.000 0.247 0.252
Nd 0.500 0.748 0.252
Nd 0.500 0.252 0.748
Sm 0.500 0.500 0.000
Er 0.000 0.500 0.500
CELL_PARAMETERS angstrom
5.168 0.000 0.000
0.000 5.041 1.067
0.000 2.926 11.128
! V: 273.8 Å³/f.u.
! calculated formation energy: 0.01 eV/atom
! E: -0.347 Ry per atom



Repeat the seventh record exactly.
! Pm2NdSmEr5 (PBE, relaxed); values from VASP
&SYSTEM
  ibrav = 0, nat = 18, ntyp = 4
/
ATOMIC_SPECIES
Pm 145.00 Pm.upf
Nd 144.24 Nd.upf
Sm 150.36 Sm.upf
Er 167.26 Er.upf
ATOMIC_POSITIONS crystal
Pm 0.117 0.383 0.000
Pm 0.617 0.117 0.000
Pm 0.383 0.883 0.000
Pm 0.883 0.617 0.000
Nd 0.250 0.250 0.500
Nd 0.750 0.750 0.500
Sm 0.250 0.750 0.500
Sm 0.750 0.250 0.500
Er 0.928 0.428 0.273
Er 0.654 0.154 0.727
Er 0.072 0.572 0.727
Er 0.154 0.072 0.727
Er 0.572 0.654 0.727
Er 0.846 0.928 0.273
Er 0.428 0.346 0.273
Er 0.346 0.846 0.273
Er 0.500 0.500 0.000
Er 0.000 0.000 0.000
CELL_PARAMETERS angstrom
8.701 0.000 0.000
0.000 8.701 0.000
-4.350 -4.350 7.714
! V: 292.0 Å³/f.u.
! calculated formation energy: 0.26 eV/atom
! E: -0.323 Ry per atom



Q: Which formula does entry 4 have?
A: PmNd2Sm5Er



Q: Look up the E of the fourth one.
A: -0.327 Ry per atom